This record from Alexandria describes AcPmPO after structural relaxation. The functional is PBE.

Geometry as POSCAR:
```
AcPmPO
1.0
-0.144 -1.922 -4.136
-2.878 -3.172 1.574
-7.338 5.512 -2.306
Pm O P Ac
2 2 2 2
Cartesian
-1.511 -2.547 -1.281
0.000 0.000 0.000
-3.669 2.756 -1.153
-5.180 0.209 -2.434
-1.414 0.048 -2.490
-7.434 2.917 -1.097
-4.255 0.529 -0.098
-4.594 2.436 -3.489
```

Summary:
Fermi-level density of states: 3.7 states/eV/cell
Magnetization: 0.000 μB/f.u.
Raw total energy: -6.76 eV/atom
Calculated volume: 197.0 Å³ per cell
Formation energy from raw total energies: -1.95 eV per atom


This record from Alexandria describes BaMnTe2Ir after structural relaxation. The functional is PBE.

Geometry as POSCAR:
```
BaMnTe2Ir
1.0
-0.839 0.671 -5.256
-4.137 -2.264 0.371
-2.463 4.663 0.989
Te Ir Ba Mn
2 1 1 1
Cartesian
-1.231 2.331 0.494
-0.420 0.336 -2.628
-2.069 -1.132 0.186
-3.719 1.535 -1.948
0.000 0.000 0.000
```

Summary:
Fermi-level density of states: 4.5 states/eV/cell
Polymorph energy (0 for the lowest one): 0 meV/atom
Magnetization: 2.742 μB/f.u.
Raw total energy: -5.34 eV/atom
Calculated volume: 136.2 Å³ per cell
Formation energy from raw total energies: -0.09 eV per atom


This record from Alexandria describes BaTcNi after structural relaxation. The functional is PBE.

Geometry as POSCAR:
```
BaTcNi
1.0
4.727 0.000 0.000
2.363 4.093 0.000
2.363 1.364 3.859
Tc Ba Ni
1 1 1
Cartesian
4.727 2.729 1.930
7.090 4.093 2.894
0.000 0.000 0.000
```

Summary:
Fermi-level density of states: 2.6 states/eV/cell
Polymorph energy (0 for the lowest one): 1231 meV/atom
Magnetization: 2.713 μB/f.u.
Raw total energy: -4.22 eV/atom
ΔE_f: 522 kJ/mol of formula units
Calculated volume: 74.7 Å³ per cell